PrErZn2Ga2, relaxed, DFT PBE; VASP energy = -21.360 eV/cell
1.0
4.4498 0.0000 0.0000
-2.2249 3.8536 0.0000
0.0000 0.0000 7.3673
Pr Zn Er Ga
1 2 1 2
Direct
0.0000 0.0000 0.7496 Pr
0.6667 0.3333 0.5116 Zn
0.3333 0.6667 0.0506 Zn
0.0000 0.0000 0.2487 Er
0.3333 0.6667 0.4538 Ga
0.6667 0.3333 0.9858 Ga



Er2Ga3Pt4, relaxed, DFT PBE; VASP energy = -103.356 eV/cell
1.0
4.8779 5.9302 2.6354
-7.7463 -2.3588 0.5800
1.7161 -4.1311 6.1193
Pt Er Ga
8 4 6
Direct
0.1799 0.8201 0.4745 Pt
0.6907 0.8093 0.2500 Pt
0.3201 0.6799 0.9745 Pt
0.8201 0.1799 0.5255 Pt
0.1907 0.3093 0.2500 Pt
0.3093 0.1907 0.7500 Pt
0.6799 0.3201 0.0255 Pt
0.8093 0.6907 0.7500 Pt
0.3942 0.6058 0.5919 Er
0.6058 0.3942 0.4081 Er
0.1058 0.8942 0.0919 Er
0.8942 0.1058 0.9081 Er
0.5189 0.9811 0.2500 Ga
0.4811 0.0189 0.7500 Ga
0.0000 0.0000 0.5000 Ga
0.9811 0.5189 0.7500 Ga
0.5000 0.5000 0.0000 Ga
0.0189 0.4811 0.2500 Ga



Er2Ga8Pt, relaxed, DFT PBE; VASP energy = -45.393 eV/cell
1.0
4.3189 0.0000 0.0000
0.0000 4.3189 0.0000
0.0000 0.0000 11.0478
Ga Er Pt
8 2 1
Direct
0.0000 0.5000 0.1287 Ga
0.0000 0.5000 0.8713 Ga
0.0000 0.5000 0.5000 Ga
0.5000 0.5000 0.6938 Ga
0.5000 0.5000 0.3062 Ga
0.5000 0.0000 0.8713 Ga
0.5000 0.0000 0.1287 Ga
0.5000 0.0000 0.5000 Ga
0.0000 0.0000 0.3121 Er
0.0000 0.0000 0.6879 Er
0.0000 0.0000 0.0000 Pt



ErGa2Pt3, relaxed, DFT PBE; VASP energy = -69.148 eV/cell
1.0
-2.9558 2.7750 -1.7213
0.9840 -3.7471 -2.0954
-9.0042 -5.7906 6.1268
Pt Ga Er
6 4 2
Direct
0.3333 0.6667 0.1267 Pt
0.0000 0.0000 0.5000 Pt
0.6667 0.3333 0.8733 Pt
0.0000 0.0000 0.0000 Pt
0.6667 0.3333 0.6267 Pt
0.3333 0.6667 0.3733 Pt
0.6667 0.3333 0.0869 Ga
0.3333 0.6667 0.5869 Ga
0.3333 0.6667 0.9131 Ga
0.6667 0.3333 0.4131 Ga
0.0000 0.0000 0.2500 Er
0.0000 0.0000 0.7500 Er



ErGaPt, relaxed, DFT PBE; VASP energy = -15.454 eV/cell
1.0
0.0000 3.1648 3.1648
3.1648 0.0000 3.1648
3.1648 3.1648 0.0000
Ga Pt Er
1 1 1
Direct
0.0000 0.0000 0.0000 Ga
0.7500 0.7500 0.7500 Pt
0.2500 0.2500 0.2500 Er



ErGaPt, relaxed, DFT PBE; VASP energy = -14.708 eV/cell
1.0
0.0000 3.2735 3.2735
3.2735 0.0000 3.2735
3.2735 3.2735 0.0000
Er Pt Ga
1 1 1
Direct
0.0000 0.0000 0.0000 Er
0.7500 0.7500 0.7500 Pt
0.2500 0.2500 0.2500 Ga



no.,spin magnetization (μB/atom)
1,0.001
2,0.000
3,0.000
4,0.000
5,0.001
6,0.000